No. 1
The following is a GGA-PBEsol calculation of KSb2As2 after structural relaxation, from Alexandria. Values from VASP.

Computed properties:
ΔE_f (raw): 40 meV/atom
distance to the lowest polymorph of the same formula: 0.819 eV per formula unit

Geometry as Quantum ESPRESSO input:
```
&SYSTEM
  ibrav = 0, nat = 10, ntyp = 3
/
ATOMIC_SPECIES
As 74.92 As.upf
Sb 121.76 Sb.upf
K 39.10 K.upf
CELL_PARAMETERS angstrom
3.851 0.000 0.000
0.000 8.115 0.000
0.000 0.000 8.115
ATOMIC_POSITIONS crystal
As 0.000 0.140 0.360
As 0.000 0.860 0.640
Sb 0.500 0.854 0.354
Sb 0.500 0.354 0.146
Sb 0.500 0.646 0.854
K 0.000 0.000 0.000
K 0.000 0.500 0.500
As 0.000 0.640 0.140
As 0.000 0.360 0.860
Sb 0.500 0.146 0.646
```


No. 2
The following is a GGA-PBEsol calculation of ZrAlBr2 after structural relaxation, from Alexandria. Values from VASP.

Computed properties:
ΔE_f (raw): -537 meV/atom
distance to the lowest polymorph of the same formula: 0.000 eV per formula unit

Geometry as Quantum ESPRESSO input:
```
&SYSTEM
  ibrav = 0, nat = 4, ntyp = 3
/
ATOMIC_SPECIES
Zr 91.22 Zr.upf
Al 26.98 Al.upf
Br 79.90 Br.upf
CELL_PARAMETERS angstrom
-1.981 1.673 -2.251
2.811 -1.583 -1.031
-5.085 -8.049 -1.507
ATOMIC_POSITIONS crystal
Zr 0.000 0.000 0.512
Al 0.500 0.000 0.747
Br 0.000 0.000 0.942
Br 0.500 0.000 0.299
```


No. 3
The following is a GGA-PBEsol calculation of ScRe2 after structural relaxation, from Alexandria. Values from VASP.

Computed properties:
calculated formation energy: -291 meV per atom

Geometry as Quantum ESPRESSO input:
```
&SYSTEM
  ibrav = 0, nat = 6, ntyp = 2
/
ATOMIC_SPECIES
Re 186.21 Re.upf
Sc 44.96 Sc.upf
CELL_PARAMETERS angstrom
-1.897 4.131 2.591
-5.101 0.257 1.138
-1.606 -0.530 4.952
ATOMIC_POSITIONS crystal
Re 0.625 0.625 0.625
Re 0.625 0.125 0.625
Re 0.125 0.625 0.625
Sc 0.000 0.000 0.000
Re 0.625 0.625 0.125
Sc 0.250 0.250 0.250
```


No. 4
The following is a GGA-PBEsol calculation of CdTc2Se after structural relaxation, from Alexandria. Values from VASP.

Computed properties:
ΔE_f (raw): 315 meV/atom
distance to the lowest polymorph of the same formula: 0.000 eV per formula unit

Geometry as Quantum ESPRESSO input:
```
&SYSTEM
  ibrav = 0, nat = 4, ntyp = 3
/
ATOMIC_SPECIES
Tc 98.00 Tc.upf
Se 78.96 Se.upf
Cd 112.41 Cd.upf
CELL_PARAMETERS angstrom
3.018 0.000 0.000
0.000 3.018 0.000
0.000 0.000 6.778
ATOMIC_POSITIONS crystal
Tc 0.000 0.000 0.709
Tc 0.000 0.000 0.291
Se 0.500 0.500 0.500
Cd 0.500 0.500 0.000
```


| no. | magnetization (μB per formula unit) |
| --- | --- |
| 1 | 0.0 |
| 2 | 0.6 |
| 3 | 0.0 |
| 4 | 0.0 |